First-principles (PBE-GGA) data for an optimized crystal structure of K2Zn2PbO4, as listed in the Alexandria database.

The uncorrected formation energy is -1.27 eV per atom. Its total energy is -4.41 eV per atom. The value obtained for the total magnetization is 0.00 μB/cell. The value obtained for the density is 4.98 g/cm3.

The space group is C2/m (No. 12) and the conventional cell measures 12.519, 3.628 and 9.172 Å, with angles of 90.00, 129.73 and 90.00 degrees. Symmetry generates all atoms from K at (0.170, 0.000, 0.276), Zn at (0.141, 0.500, 0.867), Pb at (0.000, 0.000, 0.500), O at (0.053, 0.500, 0.354) and O at (0.230, 0.000, 0.852).

First-principles (PBE-GGA) data for an optimized crystal structure of K2ZnPbO4, as listed in the Alexandria database.

The uncorrected formation energy is -1.28 eV per atom. Its total energy is -4.65 eV per atom. The value obtained for the total magnetization is 0.00 μB/cell. The value obtained for the density is 4.75 g/cm3.

The space group is I-4 (No. 82) and the conventional cell measures 6.033, 6.033 and 7.960 Å, with angles of 90.00, 90.00 and 90.00 degrees. Symmetry generates all atoms from K at (0.000, 0.000, 0.000), K at (0.000, 0.500, 0.250), Zn at (0.000, 0.000, 0.500), Pb at (0.000, 0.500, 0.750) and O at (0.161, 0.246, 0.614).

First-principles (PBE-GGA) data for an optimized crystal structure of K2ZrPbO4, as listed in the Alexandria database.

The uncorrected formation energy is -2.02 eV per atom. Its total energy is -6.30 eV per atom. The value obtained for the total magnetization is 0.00 μB/cell. The value obtained for the density is 5.41 g/cm3.

The space group is P2/m (No. 10) and the conventional cell measures 6.338, 3.433 and 6.575 Å, with angles of 90.00, 108.91 and 90.00 degrees. Symmetry generates all atoms from K at (0.000, 0.000, 0.000), K at (0.500, 0.500, 0.000), Zr at (0.000, 0.500, 0.500), Pb at (0.500, 0.000, 0.500), O at (0.194, 0.000, 0.687) and O at (0.212, 0.500, 0.309).

First-principles (PBE-GGA) data for an optimized crystal structure of K4PdO2, as listed in the Alexandria database.

The uncorrected formation energy is -0.82 eV per atom. Its total energy is -3.61 eV per atom. The value obtained for the total magnetization is 0.14 μB/cell. The value obtained for the density is 3.12 g/cm3.

The space group is R-3m (No. 166, hexagonal axes) and the conventional cell measures 4.9226, 4.9226 and 22.3998 Å, with angles of 90.00, 90.00 and 120.00 degrees. Symmetry generates all atoms from K at (0.0000, 0.0000, 0.1075), K at (0.0000, 0.0000, 0.2893), Pd at (0.0000, 0.0000, 0.5000) and O at (0.0000, 0.0000, 0.4053).

> Among the records above, which one has the lowest uncorrected formation energy?

K2ZrPbO4